Density functional theory data (PBE-GGA) for crystalline HoTmAl2Au4 at its relaxed geometry.

* calculated total energy: -35.69 eV/cell
* V: 160.6 Å³ per cell

a b c (Å): 4.529 4.529 9.042
angles (deg): 90.00 90.00 120.00
Sites, in units of the cell vectors:
Ho (0.000, 0.000, 0.000)
Tm (0.333, 0.667, 0.500)
Al (0.667, 0.333, 0.251)
Al (0.667, 0.333, 0.749)
Au (0.000, 0.000, 0.337)
Au (0.000, 0.000, 0.663)
Au (0.333, 0.667, 0.166)
Au (0.333, 0.667, 0.834)